DFT (PBE with a Hubbard U) results for an optimized crystal structure of Fe6O5F7.

a b c (Å): 5.695 5.695 7.725
angles (deg): 68.94 68.94 68.93
Fractional positions:
F (0.906, 0.578, 0.960)
O (0.711, 0.971, 0.665)
Fe (0.355, 0.001, 0.826)
F (0.785, 0.443, 0.696)
Fe (0.007, 0.660, 0.669)
O (0.338, 0.662, 0.000)
O (0.029, 0.289, 0.335)
F (0.102, 0.764, 0.373)
F (0.557, 0.215, 0.304)
Fe (0.999, 0.645, 0.174)
Fe (0.340, 0.993, 0.331)
F (0.236, 0.898, 0.627)
O (0.311, 0.365, 0.667)
F (0.955, 0.045, 0.000)
F (0.422, 0.094, 0.040)
Fe (0.671, 0.329, 0.500)
Fe (0.641, 0.359, 0.000)
O (0.635, 0.689, 0.333)

Total moment, μB/f.u.: 27.012
Density, Mg/m³: 4.325
Space-group type: No. 5
Energy, eV/atom: -5.881



DFT (PBE with a Hubbard U) results for an optimized crystal structure of Fe4OF7.

a b c (Å): 5.800 5.800 5.800
angles (deg): 113.36 107.96 107.17
Fractional positions:
F (0.543, 0.548, 0.503)
Fe (0.260, 0.730, 0.990)
Fe (0.760, 0.000, 0.760)
O (0.443, 0.500, 0.943)
Fe (0.260, 0.270, 0.530)
F (0.449, 0.000, 0.449)
F (0.955, 0.960, 0.503)
F (0.066, 0.000, 0.066)
F (0.035, 0.500, 0.535)
Fe (0.730, 0.500, 0.230)
F (0.955, 0.452, 0.995)
F (0.543, 0.040, 0.995)

Total moment, μB/f.u.: 17.000
Density, Mg/m³: 4.132
Space-group type: No. 44
Energy, eV/atom: -5.644



DFT (PBE with a Hubbard U) results for an optimized crystal structure of Fe6O5F7.

a b c (Å): 4.656 5.624 7.852
angles (deg): 86.54 89.46 89.26
Fractional positions:
Fe (0.462, 0.490, 0.978)
O (0.284, 0.527, 0.762)
F (0.196, 0.027, 0.784)
O (0.709, 0.142, 0.570)
Fe (0.012, 0.677, 0.314)
F (0.708, 0.462, 0.233)
F (0.701, 0.783, 0.903)
Fe (0.975, 0.341, 0.683)
O (0.794, 0.288, 0.908)
F (0.210, 0.384, 0.422)
O (0.806, 0.955, 0.236)
Fe (0.552, 0.165, 0.353)
O (0.197, 0.703, 0.101)
Fe (0.497, 0.831, 0.664)
Fe (0.982, 0.999, 0.013)
F (0.293, 0.884, 0.422)
F (0.308, 0.201, 0.114)
F (0.815, 0.643, 0.540)

Total moment, μB/f.u.: 23.021
Density, Mg/m³: 4.435
Space-group type: No. 1
Energy, eV/atom: -5.752



DFT (PBE with a Hubbard U) results for an optimized crystal structure of FeOF.

a b c (Å): 4.789 4.789 12.197
angles (deg): 90.00 90.00 90.18
Fractional positions:
Fe (0.468, 0.468, 0.375)
O (0.182, 0.181, 0.123)
F (0.691, 0.281, 0.250)
Fe (0.532, 0.532, 0.625)
O (0.678, 0.322, 0.000)
F (0.797, 0.798, 0.373)
Fe (0.468, 0.468, 0.125)
F (0.202, 0.203, 0.627)
O (0.819, 0.818, 0.623)
F (0.297, 0.703, 0.000)
O (0.819, 0.818, 0.877)
O (0.313, 0.671, 0.250)
Fe (0.024, 0.947, 0.750)
O (0.182, 0.181, 0.377)
F (0.719, 0.309, 0.750)
O (0.678, 0.322, 0.500)
Fe (0.962, 0.038, 0.000)
O (0.329, 0.687, 0.750)
Fe (0.053, 0.976, 0.250)
F (0.202, 0.203, 0.873)
F (0.297, 0.703, 0.500)
F (0.797, 0.798, 0.127)
Fe (0.532, 0.532, 0.875)
Fe (0.962, 0.038, 0.500)

DOS(E_F), states/eV/cell: 0.000
Total moment, μB/f.u.: 4.996
Density, Mg/m³: 4.313
Space-group type: No. 40
Energy, eV/atom: -6.011



DFT (PBE with a Hubbard U) results for an optimized crystal structure of Fe2O3F.

a b c (Å): 7.635 7.635 6.375
angles (deg): 90.00 90.00 133.58
Fractional positions:
O (0.872, 0.624, 0.444)
F (0.724, 0.276, 0.750)
Fe (0.629, 0.875, 0.250)
O (0.624, 0.872, 0.944)
O (0.872, 0.624, 0.056)
Fe (0.607, 0.393, 0.250)
Fe (0.393, 0.607, 0.750)
O (0.624, 0.872, 0.556)
F (0.020, 0.980, 0.750)
O (0.465, 0.535, 0.250)
F (0.980, 0.020, 0.250)
Fe (0.371, 0.125, 0.750)
O (0.376, 0.128, 0.444)
Fe (0.125, 0.371, 0.250)
O (0.376, 0.128, 0.056)
Fe (0.870, 0.130, 0.750)
Fe (0.875, 0.629, 0.750)
O (0.535, 0.465, 0.750)
F (0.276, 0.724, 0.250)
O (0.206, 0.794, 0.750)
Fe (0.130, 0.870, 0.250)
O (0.794, 0.206, 0.250)
O (0.128, 0.376, 0.556)
O (0.128, 0.376, 0.944)

DOS(E_F), states/eV/cell: 4.580
Total moment, μB/f.u.: 8.998
Density, Mg/m³: 4.409
Space-group type: No. 63
Energy, eV/atom: -6.085



DFT (PBE with a Hubbard U) results for an optimized crystal structure of Fe4O5F3.

a b c (Å): 6.074 4.662 9.260
angles (deg): 88.38 90.00 90.00
Fractional positions:
O (0.750, 0.678, 0.904)
Fe (0.000, 0.500, 0.500)
O (0.500, 0.784, 0.642)
Fe (0.750, 0.024, 0.274)
Fe (0.500, 0.500, 0.500)
Fe (0.250, 0.061, 0.261)
F (0.503, 0.175, 0.842)
O (0.750, 0.315, 0.101)
F (0.250, 0.706, 0.395)
Fe (0.250, 0.976, 0.726)
Fe (0.000, 0.500, 0.000)
Fe (0.500, 0.500, 0.000)
Fe (0.750, 0.939, 0.739)
O (0.250, 0.314, 0.592)
O (0.500, 0.216, 0.358)
F (0.497, 0.825, 0.158)
F (0.750, 0.294, 0.605)
O (0.250, 0.322, 0.096)
O (0.250, 0.685, 0.899)
O (0.000, 0.216, 0.358)
O (0.000, 0.784, 0.642)
O (0.750, 0.686, 0.408)
F (0.003, 0.825, 0.158)
F (0.997, 0.175, 0.842)

DOS(E_F), states/eV/cell: 7.730
Total moment, μB/f.u.: 12.996
Density, Mg/m³: 4.566
Space-group type: No. 11
Energy, eV/atom: -5.919



DFT (PBE with a Hubbard U) results for an optimized crystal structure of Fe5O7F3.

a b c (Å): 4.665 4.668 15.214
angles (deg): 89.92 90.04 88.49
Fractional positions:
O (0.803, 0.784, 0.500)
Fe (0.992, 0.002, 0.000)
O (0.318, 0.683, 0.396)
Fe (0.008, 0.967, 0.404)
O (0.819, 0.812, 0.698)
Fe (0.466, 0.476, 0.099)
O (0.198, 0.185, 0.501)
O (0.684, 0.305, 0.198)
Fe (0.517, 0.533, 0.292)
O (0.811, 0.824, 0.903)
F (0.204, 0.199, 0.301)
O (0.682, 0.309, 0.000)
O (0.697, 0.320, 0.803)
F (0.703, 0.296, 0.603)
O (0.298, 0.692, 0.000)
O (0.310, 0.708, 0.805)
F (0.705, 0.297, 0.397)
O (0.293, 0.692, 0.196)
Fe (0.994, 0.005, 0.199)
Fe (0.515, 0.531, 0.707)
O (0.318, 0.686, 0.604)
Fe (0.517, 0.527, 0.901)
Fe (0.012, 0.970, 0.595)
Fe (0.479, 0.504, 0.500)
O (0.817, 0.815, 0.298)
O (0.170, 0.179, 0.099)
F (0.785, 0.798, 0.100)
Fe (0.982, 0.993, 0.801)
F (0.205, 0.202, 0.700)
F (0.197, 0.207, 0.899)

DOS(E_F), states/eV/cell: 10.855
Total moment, μB/f.u.: 9.838
Density, Mg/m³: 4.494
Space-group type: No. 1
Energy, eV/atom: -6.077



DFT (PBE with a Hubbard U) results for an optimized crystal structure of Fe2OF3.

a b c (Å): 3.141 4.828 9.639
angles (deg): 90.00 90.00 90.00
Fractional positions:
F (0.500, 0.807, 0.527)
O (0.500, 0.193, 0.716)
F (0.000, 0.286, 0.982)
Fe (0.000, 0.030, 0.638)
Fe (0.000, 0.981, 0.130)
F (0.000, 0.307, 0.473)
Fe (0.500, 0.481, 0.870)
F (0.500, 0.786, 0.018)
O (0.000, 0.693, 0.284)
Fe (0.500, 0.530, 0.362)
F (0.000, 0.703, 0.763)
F (0.500, 0.203, 0.237)

Total moment, μB/f.u.: 9.000
Density, Mg/m³: 4.196
Space-group type: No. 31
Energy, eV/atom: -5.778